Crystalline SrDyGe2 at its relaxed geometry. Source: the Alexandria database, functional PBE.

Properties
Electronic total energy   -4.33 eV per atom
Energy of formation   -0.454 eV per atom
Total moment   0.000 μB/atom

a = 4.7514 Å, b = 4.7514 Å, c = 6.3558 Å
α = 68.05°, β = 68.05°, γ = 60.00°
Last column: nearest neighbours and their distance in Å.
Positions (direct):
Sr 0.5000 0.5000 0.5000  6 Ge 3.25
Ge 0.2679 0.2679 0.1962  3 Dy 2.96, 3 Sr 3.25
Ge 0.7321 0.7321 0.8038  3 Dy 2.96, 3 Sr 3.25
Dy 0.0000 0.0000 0.0000  6 Ge 2.96